Below is a relaxed structure of ThCdPb, with properties calculated at the PBE level.

Calculated values
ΔH_f (0 K): -0.125 eV/atom
energy: -37.25 eV/cell

a b c (Å): 8.156 8.156 4.454
angles (deg): 90.00 90.00 120.00
Sites, in units of the cell vectors:
Th 0.000 0.395 0.000
Th 0.395 0.000 0.000
Th 0.605 0.605 0.000
Cd 0.000 0.741 0.500
Cd 0.259 0.259 0.500
Cd 0.741 0.000 0.500
Pb 0.000 0.000 0.000
Pb 0.333 0.667 0.500
Pb 0.667 0.333 0.500

Below is a relaxed structure of Rb3Np3SnS8, with properties calculated at the PBE level.

Calculated values
energy: -97.23 eV/cell
formation energy without anion corrections: -1232 meV per atom

a b c (Å): 9.007 9.007 9.007
angles (deg): 54.33 54.33 54.33
Sites, in units of the cell vectors:
Rb 0.000 0.500 0.500
Rb 0.500 0.000 0.500
Rb 0.500 0.500 0.000
Np 0.000 0.000 0.500
Np 0.000 0.500 0.000
Np 0.500 0.000 0.000
Sn 0.500 0.500 0.500
S 0.211 0.737 0.737
S 0.230 0.230 0.230
S 0.263 0.263 0.789
S 0.263 0.789 0.263
S 0.737 0.211 0.737
S 0.737 0.737 0.211
S 0.770 0.770 0.770
S 0.789 0.263 0.263

Number 2 is which compound?
Rb3Np3SnS8

What is the energy in the first record?
-37.25 eV/cell